(1)
CaCdH | PBE-GGA | optimized geometry Values from VASP.

```
&SYSTEM
  ibrav = 0, nat = 3, ntyp = 3
/
ATOMIC_SPECIES
H 1.01 H.upf
Ca 40.08 Ca.upf
Cd 112.41 Cd.upf
CELL_PARAMETERS angstrom
-0.826 -2.877 -1.253
-0.081 -1.276 2.983
-5.277 3.521 -0.402
ATOMIC_POSITIONS angstrom
H -2.965 0.748 0.239
Ca -3.061 -1.419 1.075
Cd -0.159 0.040 0.013
```

electronic total energy	-2.23	eV/atom
E above lowest polymorph	0.274	eV/atom

=====

(2)
Ca4Cd2H | PBE-GGA | optimized geometry Values from VASP.

```
&SYSTEM
  ibrav = 0, nat = 14, ntyp = 3
/
ATOMIC_SPECIES
Ca 40.08 Ca.upf
Cd 112.41 Cd.upf
H 1.01 H.upf
CELL_PARAMETERS angstrom
6.638 0.000 -0.078
0.000 6.995 0.000
-2.513 0.000 8.587
ATOMIC_POSITIONS angstrom
Ca 2.869 3.532 2.458
Ca -1.396 5.246 8.204
Ca 5.520 1.749 0.304
Ca 2.869 6.960 2.458
Ca 4.523 1.749 5.487
Ca 1.256 0.035 6.051
Ca 1.256 3.463 6.051
Ca -0.398 5.246 3.021
Cd 4.514 5.246 0.094
Cd -0.390 1.749 8.414
Cd 0.214 1.749 3.319
Cd 3.911 5.246 5.190
H 1.534 5.246 1.847
H 2.590 1.749 6.661
```

electronic total energy	-2.18	eV/atom
E above lowest polymorph	0.000	eV/atom

=====

(3)
CaCdH3 | PBE-GGA | optimized geometry Values from VASP.

```
&SYSTEM
  ibrav = 0, nat = 5, ntyp = 3
/
ATOMIC_SPECIES
H 1.01 H.upf
Ca 40.08 Ca.upf
Cd 112.41 Cd.upf
CELL_PARAMETERS angstrom
4.197 0.000 0.000
0.000 4.197 0.000
0.000 0.000 4.197
ATOMIC_POSITIONS angstrom
H 0.000 2.098 0.000
H 0.000 0.000 2.098
H 2.098 0.000 0.000
Ca 0.000 0.000 0.000
Cd 2.098 2.098 2.098
```

electronic total energy	-2.51	eV/atom
E above lowest polymorph	0.033	eV/atom

=====

(4)
Ca2CdH | PBE-GGA | optimized geometry Values from VASP.

```
&SYSTEM
  ibrav = 0, nat = 4, ntyp = 3
/
ATOMIC_SPECIES
Ca 40.08 Ca.upf
Cd 112.41 Cd.upf
H 1.01 H.upf
CELL_PARAMETERS angstrom
3.762 0.000 0.000
1.881 3.258 0.000
1.881 1.086 7.862
ATOMIC_POSITIONS angstrom
Ca 1.881 1.086 6.377
Ca 1.881 1.086 1.506
Cd 3.762 2.172 3.950
H 5.643 3.258 7.821
```

electronic total energy	-2.26	eV/atom
E above lowest polymorph	0.173	eV/atom

=====

(5)
Ca2CdH | PBE-GGA | optimized geometry Values from VASP.

```
&SYSTEM
  ibrav = 0, nat = 8, ntyp = 3
/
ATOMIC_SPECIES
Ca 40.08 Ca.upf
Cd 112.41 Cd.upf
H 1.01 H.upf
CELL_PARAMETERS angstrom
5.430 0.000 0.000
0.000 4.922 -2.381
0.000 0.386 7.076
ATOMIC_POSITIONS angstrom
Ca 4.073 0.325 2.012
Ca 1.358 1.471 4.382
Ca 1.358 2.607 0.908
Ca 4.073 3.753 3.278
Cd 4.073 1.846 -0.893
Cd 1.358 4.693 4.993
H 0.000 2.039 2.645
H 2.715 2.039 2.645
```

electronic total energy	-2.44	eV/atom
E above lowest polymorph	0.000	eV/atom

=====

(6)
Ca2CdH | PBE-GGA | optimized geometry Values from VASP.

```
&SYSTEM
  ibrav = 0, nat = 4, ntyp = 3
/
ATOMIC_SPECIES
H 1.01 H.upf
Ca 40.08 Ca.upf
Cd 112.41 Cd.upf
CELL_PARAMETERS angstrom
3.807 0.000 0.000
1.904 3.297 0.000
1.904 1.099 7.694
ATOMIC_POSITIONS angstrom
H 3.807 2.198 3.847
Ca 5.711 3.297 5.308
Ca 1.904 1.099 2.386
Cd 0.000 0.000 0.000
```

electronic total energy	-2.30	eV/atom
E above lowest polymorph	0.141	eV/atom

=====

(7)
Ca3CdH | PBE-GGA | optimized geometry Values from VASP.

```
&SYSTEM
  ibrav = 0, nat = 10, ntyp = 3
/
ATOMIC_SPECIES
Ca 40.08 Ca.upf
Cd 112.41 Cd.upf
H 1.01 H.upf
CELL_PARAMETERS angstrom
3.928 -0.002 0.000
-1.964 7.178 0.000
0.000 0.000 9.930
ATOMIC_POSITIONS angstrom
Ca 2.946 1.588 0.636
Ca -0.981 5.589 9.294
Ca 2.946 1.588 4.329
Ca -0.981 5.589 5.601
Ca 0.983 4.177 2.482
Ca 0.981 3.000 7.447
Cd -0.985 6.863 2.482
Cd 2.949 0.314 7.447
H 2.948 2.965 2.482
H -0.983 4.211 7.447
```

electronic total energy	-2.35	eV/atom
E above lowest polymorph	0.000	eV/atom

=====

(8)
CaCd2H | PBE-GGA | optimized geometry Values from VASP.

```
&SYSTEM
  ibrav = 0, nat = 4, ntyp = 3
/
ATOMIC_SPECIES
H 1.01 H.upf
Ca 40.08 Ca.upf
Cd 112.41 Cd.upf
CELL_PARAMETERS angstrom
4.921 -0.595 1.266
1.567 1.073 4.750
1.392 -3.783 3.150
ATOMIC_POSITIONS angstrom
H 0.000 0.000 0.000
Ca 3.940 -1.652 4.583
Cd 1.970 -0.826 2.291
Cd 5.910 -2.479 6.874
```

electronic total energy	-1.44	eV/atom
E above lowest polymorph	0.378	eV/atom

=====

(9)
CaCdH | PBE-GGA | optimized geometry Values from VASP.

```
&SYSTEM
  ibrav = 0, nat = 6, ntyp = 3
/
ATOMIC_SPECIES
Ca 40.08 Ca.upf
Cd 112.41 Cd.upf
H 1.01 H.upf
CELL_PARAMETERS angstrom
-0.354 3.805 -0.449
-1.557 -0.555 -3.474
-7.252 -0.287 3.297
ATOMIC_POSITIONS angstrom
Ca -2.130 3.171 -3.783
Ca -6.196 1.346 0.462
Cd -5.265 3.047 -2.356
Cd -3.062 1.471 -0.962
H -8.090 1.025 -0.768
H -7.488 3.205 0.745
```

electronic total energy	-2.51	eV/atom
E above lowest polymorph	0.000	eV/atom

=====

(10)
Ca2CdH | PBE-GGA | optimized geometry Values from VASP.

```
&SYSTEM
  ibrav = 0, nat = 4, ntyp = 3
/
ATOMIC_SPECIES
H 1.01 H.upf
Ca 40.08 Ca.upf
Cd 112.41 Cd.upf
CELL_PARAMETERS angstrom
-0.861 -5.108 0.841
-4.147 -1.531 2.827
-4.032 -2.402 -2.346
ATOMIC_POSITIONS angstrom
H 0.000 0.000 0.000
Ca -2.260 -2.260 0.330
Ca -6.780 -6.781 0.991
Cd -4.520 -4.520 0.661
```

electronic total energy	-1.98	eV/atom
E above lowest polymorph	0.461	eV/atom

=====

(11)
CaCdH2 | PBE-GGA | optimized geometry Values from VASP.

```
&SYSTEM
  ibrav = 0, nat = 4, ntyp = 3
/
ATOMIC_SPECIES
H 1.01 H.upf
Ca 40.08 Ca.upf
Cd 112.41 Cd.upf
CELL_PARAMETERS angstrom
4.114 -0.853 -1.131
1.587 -4.027 0.441
0.832 -2.409 -3.526
ATOMIC_POSITIONS angstrom
H 1.633 -1.822 -1.054
H 4.900 -5.466 -3.162
Ca 0.000 0.000 0.000
Cd 3.267 -3.644 -2.108
```

electronic total energy	-2.43	eV/atom
E above lowest polymorph	0.028	eV/atom

=====

(12)
Ca2CdH | PBE-GGA | optimized geometry Values from VASP.

```
&SYSTEM
  ibrav = 0, nat = 8, ntyp = 3
/
ATOMIC_SPECIES
H 1.01 H.upf
Ca 40.08 Ca.upf
Cd 112.41 Cd.upf
CELL_PARAMETERS angstrom
-3.052 6.135 1.741
-6.059 -2.187 -2.914
-5.674 0.429 2.899
ATOMIC_POSITIONS angstrom
H -4.556 1.974 -0.586
H -8.144 0.108 -0.300
Ca -3.770 3.039 1.270
Ca -5.900 0.136 -0.700
Ca -8.294 1.578 1.436
Ca -11.606 4.000 1.447
Cd 0.000 0.000 0.000
Cd -6.641 4.269 2.027
```

electronic total energy	-2.33	eV/atom
E above lowest polymorph	0.107	eV/atom

=====

(13)
Ca2CdH | PBE-GGA | optimized geometry Values from VASP.

```
&SYSTEM
  ibrav = 0, nat = 4, ntyp = 3
/
ATOMIC_SPECIES
H 1.01 H.upf
Ca 40.08 Ca.upf
Cd 112.41 Cd.upf
CELL_PARAMETERS angstrom
3.424 0.000 0.000
0.000 3.424 0.000
0.000 0.000 7.908
ATOMIC_POSITIONS angstrom
H 1.712 1.712 0.000
Ca 0.000 0.000 6.157
Ca 0.000 0.000 1.750
Cd 1.712 1.712 3.954
```

electronic total energy	-2.15	eV/atom
E above lowest polymorph	0.291	eV/atom